# 1
First-principles (SCAN) data for a PBEsol-optimized structure of Mn2CoW, as listed in Alexandria.

Lattice parameters (Å, degrees): 3.5842 3.5842 4.4382 113.82 113.82 90.00
Closest atoms and distances in Å follow each position.
Positions (direct):
W  0.5000  0.5000  0.0000  8 Mn 2.53-2.56, 4 Co 2.56
Mn  0.7500  0.2500  0.5000  4 Co 2.53, 4 Mn 2.56, 4 W 2.56
Mn  0.0000  0.0000  0.0000  4 W 2.53, 4 Mn 2.56, 4 Co 2.56
Co  0.2500  0.7500  0.5000  8 Mn 2.53-2.56, 4 W 2.56

Calculated values
**Excess energy over the best structure of this formula in the dataset**: 127 meV/atom
**Symmetry**: I-4m2
**Magnetic moment**: 0.92 μB/f.u.
**Electronic total energy**: -30.817 eV per atom
**E_form**: 0.058 eV per atom

---

# 2
First-principles (SCAN) data for a PBEsol-optimized structure of MnCo2W, as listed in Alexandria.

Lattice parameters (Å, degrees): 3.5590 3.5590 4.3890 113.92 113.92 90.00
Closest atoms and distances in Å follow each position.
Positions (direct):
Co  0.7500  0.2500  0.5000  4 Co 2.52, 4 W 2.53, 4 Mn 2.53
Co  0.2500  0.7500  0.5000  4 Co 2.52, 4 W 2.53, 4 Mn 2.53
Mn  0.0000  0.0000  0.0000  4 W 2.52, 8 Co 2.53
W  0.5000  0.5000  0.0000  4 Mn 2.52, 8 Co 2.53

Calculated values
**Excess energy over the best structure of this formula in the dataset**: 156 meV/atom
**Symmetry**: I4/mmm
**Magnetic moment**: 1.32 μB/f.u.
**Electronic total energy**: -30.525 eV per atom
**E_form**: 0.113 eV per atom

---

# 3
First-principles (SCAN) data for a PBEsol-optimized structure of MnCo2W, as listed in Alexandria.

Lattice parameters (Å, degrees): 3.5616 3.5616 3.5940 90.00 90.00 90.00
Closest atoms and distances in Å follow each position.
Positions (direct):
Co  0.5000  0.0000  0.0000  4 Co 2.52, 4 Mn 2.53, 4 W 2.53
Co  0.0000  0.5000  0.0000  4 Co 2.52, 4 Mn 2.53, 4 W 2.53
Mn  0.5000  0.5000  0.5000  4 W 2.52, 8 Co 2.53
W  0.0000  0.0000  0.5000  4 Mn 2.52, 8 Co 2.53

Calculated values
**Excess energy over the best structure of this formula in the dataset**: 95 meV/atom
**Symmetry**: P4/mmm
**Magnetic moment**: 1.07 μB/f.u.
**Electronic total energy**: -30.586 eV per atom
**E_form**: 0.052 eV per atom

---

# 4
First-principles (SCAN) data for a PBEsol-optimized structure of Mn2CoW, as listed in Alexandria.

Lattice parameters (Å, degrees): 4.0894 4.0894 4.0894 60.00 60.00 60.00
Closest atoms and distances in Å follow each position.
Positions (direct):
Mn  0.2500  0.2500  0.2500  4 Co 2.50, 4 W 2.50
Mn  0.7500  0.7500  0.7500  4 Co 2.50, 4 W 2.50
W  0.5000  0.5000  0.5000  8 Mn 2.50
Co  0.0000  0.0000  0.0000  8 Mn 2.50

Calculated values
**Excess energy over the best structure of this formula in the dataset**: 0 meV/atom
**Symmetry**: Fm-3m
**Magnetic moment**: 5.12 μB/f.u.
**Electronic total energy**: -30.945 eV per atom
**E_form**: -0.069 eV per atom

---

Question: Look up the magnetic moment of the third one.
Answer: 1.07 μB/f.u.

---

Question: What is the electronic total energy in the fourth record?
Answer: -30.945 eV per atom

---

Question: E_form of number 3 (MnCo2W)?
Answer: 0.052 eV per atom

---

Question: Which of these has the lowest electronic total energy?
Answer: number 4